Record 1
The following is a PBE calculation of ReMo2W8 after structural relaxation, from Alexandria.

Output
The space group is C2/m. The energy relative to the elements is 0.00 eV/atom. The calculation puts the energy at -137.72 eV for the cell shown. The calculation puts the volume at 16.01 A^3/atom. The calculation puts the size of the total moment at 0.0000 μB per atom.

a b c (Å): 4.490 6.911 6.919
angles (deg): 118.13 108.93 90.00
Sites, in units of the cell vectors:
W1 0.864 0.818 0.727
Mo1 0.227 0.636 0.455
W2 0.136 0.182 0.273
W3 0.682 0.910 0.364
Mo2 0.773 0.364 0.545
W4 0.955 0.272 0.910
W5 0.409 0.545 0.818
W6 0.591 0.455 0.182
W7 0.045 0.728 0.090
W8 0.318 0.090 0.636
Re1 0.500 0.000 0.000

***

Record 2
The following is a PBE calculation of Tl2CrRh after structural relaxation, from Alexandria.

Output
The space group is Pmmm. The energy relative to the elements is 0.38 eV/atom. The calculation puts the energy at -20.19 eV for the cell shown. The calculation puts the volume at 19.33 A^3/atom. The calculation puts the size of the total moment at 0.9875 μB per atom.

a b c (Å): 3.258 3.738 6.347
angles (deg): 90.00 90.00 90.00
Sites, in units of the cell vectors:
Tl1 0.000 0.000 0.509
Cr1 0.500 0.500 0.250
Tl2 0.000 0.000 0.991
Rh1 0.500 0.500 0.750

***

Record 3
The following is a PBE calculation of CoTc2PRh after structural relaxation, from Alexandria.

Output
The space group is P4/mmm. The energy relative to the elements is 0.64 eV/atom. The calculation puts the energy at -37.39 eV for the cell shown. The calculation puts the volume at 16.23 A^3/atom. The calculation puts the size of the total moment at 0.5952 μB per atom.

a b c (Å): 4.358 4.273 4.358
angles (deg): 90.00 90.00 90.00
Sites, in units of the cell vectors:
Co1 0.500 0.500 0.500
Tc1 0.500 0.000 0.000
P1 0.000 0.000 0.000
Tc2 0.000 0.000 0.500
Rh1 0.000 0.500 0.000

***

Record 4
The following is a PBE calculation of Cs3BaO after structural relaxation, from Alexandria.

Output
The space group is Pm-3m. The value obtained for the uncorrected formation energy is 0.824 eV per atom. The calculation puts the energy at -5.32 eV for the cell shown. The calculation puts the volume at 95.02 A^3/atom. The calculation puts the size of the total moment at 0.0002 μB per atom.

a b c (Å): 7.803 7.803 7.803
angles (deg): 90.00 90.00 90.00
Sites, in units of the cell vectors:
O1 0.500 0.500 0.500
Cs1 0.500 0.000 0.000
Ba1 0.000 0.000 0.000
Cs2 0.000 0.000 0.500
Cs3 0.000 0.500 0.000

***

Record 5
The following is a PBE calculation of NaGaAu after structural relaxation, from Alexandria.

Output
The space group is I4mm. The energy relative to the elements is -0.22 eV/atom. The calculation puts the energy at -8.29 eV for the cell shown. The calculation puts the volume at 21.17 A^3/atom. The calculation puts the size of the total moment at 0.0000 μB per atom.

a b c (Å): 3.490 3.490 5.769
angles (deg): 107.60 107.60 90.00
Sites, in units of the cell vectors:
Na1 0.614 0.614 0.229
Au1 0.922 0.922 0.844
Ga1 0.313 0.313 0.627

***

Record 6
The following is a PBE calculation of Zr2Al2Ni after structural relaxation, from Alexandria.

Output
The space group is P4/nmm. The energy relative to the elements is 0.24 eV/atom. The calculation puts the energy at -58.33 eV for the cell shown. The calculation puts the volume at 20.05 A^3/atom. The calculation puts the size of the total moment at 0.0773 μB per atom.

a b c (Å): 3.690 3.690 14.729
angles (deg): 90.00 90.00 90.00
Sites, in units of the cell vectors:
Ni1 0.500 0.000 0.167
Zr1 0.500 0.500 0.000
Zr2 0.500 0.000 0.658
Al1 0.500 0.500 0.500
Al2 0.000 0.000 0.500
Al3 0.000 0.500 0.155
Ni2 0.000 0.500 0.833
Al4 0.500 0.000 0.845
Zr3 0.000 0.000 0.000
Zr4 0.000 0.500 0.342

***

Record 7
The following is a PBE calculation of Tb2Ce2Sm7 after structural relaxation, from Alexandria.

Output
The space group is C2/m. The energy relative to the elements is 0.20 eV/atom. The calculation puts the energy at -51.99 eV for the cell shown. The calculation puts the volume at 33.43 A^3/atom. The calculation puts the size of the total moment at 0.1925 μB per atom.

a b c (Å): 6.060 8.096 8.096
angles (deg): 92.47 74.91 74.91
Sites, in units of the cell vectors:
Sm1 0.000 0.000 0.000
Tb1 0.416 0.226 0.226
Sm2 0.196 0.589 0.589
Sm3 0.822 0.934 0.414
Sm4 0.178 0.066 0.586
Sm5 0.804 0.411 0.411
Ce1 0.500 0.217 0.783
Tb2 0.584 0.774 0.774
Ce2 0.500 0.783 0.217
Sm6 0.822 0.414 0.934
Sm7 0.178 0.586 0.066

***

Record 8
The following is a PBE calculation of Ho5AlCu2 after structural relaxation, from Alexandria.

Output
The space group is I4/mcm. The energy relative to the elements is -0.21 eV/atom. The calculation puts the energy at -73.06 eV for the cell shown. The calculation puts the volume at 24.33 A^3/atom. The calculation puts the size of the total moment at 0.0000 μB per atom.

a b c (Å): 7.756 7.756 8.483
angles (deg): 117.20 117.20 90.00
Sites, in units of the cell vectors:
Ho1 0.196 0.014 0.710
Ho2 0.696 0.196 0.710
Cu1 0.127 0.373 0.000
Ho3 0.000 0.000 0.000
Cu2 0.627 0.127 0.000
Ho4 0.986 0.486 0.290
Ho5 0.500 0.500 0.000
Ho6 0.804 0.986 0.290
Ho7 0.486 0.304 0.290
Al1 0.750 0.750 0.500
Ho8 0.304 0.804 0.290
Ho9 0.014 0.514 0.710
Al2 0.250 0.250 0.500
Cu3 0.373 0.873 0.000
Ho10 0.514 0.696 0.710
Cu4 0.873 0.627 0.000

***

Among the records above, which one has the highest volume? Cs3BaO